# 1
Computed, not measured: an optimized crystal structure of LaNp2Tl3Se6 at the PBE-GGA level of DFT.

Unit cell a=7.4367 b=7.4367 c=8.1209 alpha=98.78 beta=98.78 gamma=119.98
Each line ends with the local moment (μB).
Element x y z (fractional)
Se 0.0693 0.4140 0.2073  -0.06
Se 0.9307 0.5860 0.7927  -0.06
Se 0.4140 0.0693 0.2073  -0.06
Se 0.5860 0.9307 0.7927  -0.06
Se 0.2766 0.2766 0.7951  -0.05
Se 0.7234 0.7234 0.2049  -0.05
Tl 0.1653 0.8347 0.5000  0.00
Tl 0.8347 0.1653 0.5000  0.00
Tl 0.5000 0.5000 0.5000  0.00
La 0.0000 0.0000 0.0000  0.06
Np 0.3331 0.6669 0.0000  3.92
Np 0.6669 0.3331 0.0000  3.92

Properties
For the formation energy (no corrections), the calculation gives -1.076 eV per atom.

---

# 2
Computed, not measured: an optimized crystal structure of BaPbO3 at the PBE-GGA level of DFT.

Unit cell a=4.3028 b=4.3028 c=4.3028 alpha=90.00 beta=90.00 gamma=90.00
Element x y z (fractional)
O 0.0000 0.5000 0.0000
O 0.5000 0.0000 0.0000
O 0.0000 0.0000 0.5000
Ba 0.5000 0.5000 0.5000
Pb 0.0000 0.0000 0.0000

Properties
For the formation energy (no corrections), the calculation gives -1.653 eV per atom.

---

# 3
Computed, not measured: an optimized crystal structure of PIrRu2 at the PBE-GGA level of DFT.

Unit cell a=2.7956 b=2.7956 c=8.3450 alpha=90.00 beta=90.00 gamma=119.94
Element x y z (fractional)
Ir 0.5000 0.5000 0.5000
Ru 0.0000 0.0000 0.2186
Ru 0.0000 0.0000 0.7814
P 0.5000 0.5000 0.0000

Properties
As for the formation enthalpy at 0 K: 237.5 meV per atom.

---

# 4
Computed, not measured: an optimized crystal structure of CeMg3Ir2 at the PBE-GGA level of DFT.

Unit cell a=3.9195 b=8.9940 c=8.9325 alpha=125.78 beta=90.00 gamma=102.59
Element x y z (fractional)
Mg 0.6782 0.3565 0.4517
Mg 0.3614 0.7228 0.2246
Mg 0.6386 0.2772 0.7754
Mg 0.0376 0.0753 0.3873
Mg 0.9624 0.9247 0.6127
Mg 0.3218 0.6435 0.5483
Ir 0.7762 0.5524 0.2932
Ir 0.5076 0.0152 0.8607
Ir 0.2238 0.4476 0.7068
Ir 0.4924 0.9848 0.1393
Ce 0.8654 0.7308 0.9163
Ce 0.1346 0.2692 0.0837

Properties
As for the formation enthalpy at 0 K: -444.0 meV per atom.

---

# 5
Computed, not measured: an optimized crystal structure of Ba6NaTl2 at the PBE-GGA level of DFT.

Unit cell a=9.2472 b=10.7378 c=10.6311 alpha=90.00 beta=59.39 gamma=90.00
Element x y z (fractional)
Ba 0.2606 0.8368 0.0600
Ba 0.7686 0.4690 0.1923
Ba 0.7394 0.1632 0.9400
Ba 0.2009 0.2212 0.0798
Ba 0.2314 0.5310 0.8077
Ba 0.7314 0.9690 0.3077
Ba 0.7991 0.7788 0.9202
Ba 0.2686 0.0310 0.6923
Ba 0.7009 0.2788 0.5798
Ba 0.2394 0.3368 0.4400
Ba 0.2991 0.7212 0.4202
Ba 0.7606 0.6632 0.5600
Na 0.5000 0.5000 0.0000
Na 0.0000 0.0000 0.5000
Tl 0.1096 0.5410 0.2300
Tl 0.8904 0.4590 0.7700
Tl 0.6096 0.9590 0.7300
Tl 0.3904 0.0410 0.2700

Properties
As for the formation enthalpy at 0 K: -153.9 meV per atom. For the excess energy over the best structure of this formula in the dataset, the calculation gives 27 meV per atom.

---

# 6
Computed, not measured: an optimized crystal structure of La4YTm7 at the PBE-GGA level of DFT.

Unit cell a=5.9157 b=11.7566 c=6.7418 alpha=83.70 beta=63.98 gamma=75.43
Each line ends with the local moment (μB).
Element x y z (fractional)
La 0.6373 0.2209 0.5045  0.00
La 0.2170 0.3394 0.2266  0.00
La 0.7830 0.6606 0.7734  0.00
La 0.3627 0.7791 0.4955  0.00
Tm 0.6332 0.5065 0.2271  0.00
Tm 0.7872 0.9240 0.5016  0.01
Tm 0.2128 0.0760 0.4984  0.01
Tm 0.3668 0.4935 0.7729  0.00
Tm 0.5000 0.0000 0.0000  0.10
Tm 0.9300 0.3086 0.8315  0.00
Tm 0.0700 0.6914 0.1685  0.00
Y 0.0000 0.0000 0.0000  0.08

Properties
As for the formation enthalpy at 0 K: 260.3 meV per atom.

---

# 7
Computed, not measured: an optimized crystal structure of Sr2ZrTe at the PBE-GGA level of DFT.

Unit cell a=6.8887 b=6.8887 c=5.4229 alpha=66.77 beta=66.77 gamma=34.74
Each line ends with the local moment (μB).
Element x y z (fractional)
Zr 0.7500 0.7500 0.7500  0.82
Sr 0.9629 0.9629 0.0372  0.02
Sr 0.5371 0.5371 0.4628  0.02
Te 0.2500 0.2500 0.2500  -0.01

Properties
For the formation energy (no corrections), the calculation gives -0.037 eV per atom.

---

# 8
Computed, not measured: an optimized crystal structure of NaTaSCl2 at the PBE-GGA level of DFT.

Unit cell a=4.6243 b=4.6243 c=5.1456 alpha=90.00 beta=90.00 gamma=90.00
Each line ends with the local moment (μB).
Element x y z (fractional)
Cl 0.5000 0.0000 0.0000  -0.07
Cl 0.0000 0.5000 0.0000  -0.07
S 0.0000 0.0000 0.5000  -0.21
Na 0.0000 0.0000 0.0000  0.00
Ta 0.5000 0.5000 0.5000  1.76

Properties
For the excess energy over the best structure of this formula in the dataset, the calculation gives 1371 meV per atom. For the formation energy (no corrections), the calculation gives 0.496 eV per atom.

---

# 9
Computed, not measured: an optimized crystal structure of NaCa4Hg3 at the PBE-GGA level of DFT.

Unit cell a=5.4559 b=5.4559 c=9.4862 alpha=73.29 beta=73.29 gamma=60.00
Element x y z (fractional)
Ca 0.6176 0.6176 0.1472
Ca 0.8683 0.8683 0.3952
Ca 0.1317 0.1317 0.6048
Ca 0.3824 0.3824 0.8528
Hg 0.5000 0.5000 0.5000
Hg 0.2560 0.2560 0.2321
Hg 0.7440 0.7440 0.7679
Na 0.0000 0.0000 0.0000

Properties
As for the formation enthalpy at 0 K: -410.2 meV per atom.

---

# 10
Computed, not measured: an optimized crystal structure of TlCr2Br6 at the PBE-GGA level of DFT.

Unit cell a=7.3550 b=6.7515 c=6.7515 alpha=120.00 beta=90.00 gamma=90.00
Each line ends with the local moment (μB).
Element x y z (fractional)
Br 0.6988 0.6292 0.6292  -0.04
Br 0.3012 0.3708 0.3708  -0.04
Br 0.6988 0.3708 0.0000  -0.04
Br 0.6988 0.0000 0.3708  -0.04
Br 0.3012 0.0000 0.6292  -0.04
Br 0.3012 0.6292 0.0000  -0.04
Tl 0.0000 0.0000 0.0000  0.01
Cr 0.5000 0.6667 0.3333  3.31
Cr 0.5000 0.3333 0.6667  3.31

Properties
For the formation energy (no corrections), the calculation gives -0.736 eV per atom.

---

# 11
Computed, not measured: an optimized crystal structure of YTa2Pd2 at the PBE-GGA level of DFT.

Unit cell a=7.9932 b=7.9932 c=2.9691 alpha=90.00 beta=90.00 gamma=90.00
Element x y z (fractional)
Pd 0.6246 0.1246 0.0000
Pd 0.8754 0.6246 0.0000
Pd 0.1246 0.3754 0.0000
Pd 0.3754 0.8754 0.0000
Ta 0.3309 0.1691 0.5000
Ta 0.6691 0.8309 0.5000
Ta 0.8309 0.3309 0.5000
Ta 0.1691 0.6691 0.5000
Y 0.5000 0.5000 0.0000
Y 0.0000 0.0000 0.0000

Properties
As for the formation enthalpy at 0 K: -67.3 meV per atom.

---

# 12
Computed, not measured: an optimized crystal structure of Ce2BeCuPd6 at the PBE-GGA level of DFT.

Unit cell a=5.8386 b=7.0511 c=7.5292 alpha=47.57 beta=61.78 gamma=87.09
Each line ends with the local moment (μB).
Element x y z (fractional)
Cu 0.0000 0.0000 0.0000  0.00
Pd 0.3057 0.2610 0.9854  -0.02
Pd 0.2140 0.2124 0.4845  -0.02
Pd 0.2131 0.7091 0.9316  -0.01
Pd 0.7869 0.2909 0.0684  -0.01
Pd 0.7860 0.7876 0.5155  -0.02
Pd 0.6943 0.7390 0.0146  -0.02
Ce 0.3087 0.7483 0.4510  0.61
Ce 0.6913 0.2517 0.5490  0.61
Be 0.5000 0.5000 0.0000  0.00

Properties
As for the formation enthalpy at 0 K: -512.2 meV per atom.

---

# 13
Computed, not measured: an optimized crystal structure of BaCeF6 at the PBE-GGA level of DFT.

Unit cell a=5.0692 b=5.0692 c=6.0267 alpha=77.56 beta=77.56 gamma=88.75
Element x y z (fractional)
Ba 0.5000 0.5000 0.5000
F 0.7026 0.0972 0.2917
F 0.3015 0.3015 0.9765
F 0.0972 0.7026 0.2917
F 0.6985 0.6985 0.0235
F 0.9028 0.2974 0.7083
F 0.2974 0.9028 0.7083
Ce 0.0000 0.0000 0.0000

Properties
For the formation energy (no corrections), the calculation gives -3.781 eV per atom.

---

# 14
Computed, not measured: an optimized crystal structure of LiCaTc2 at the PBE-GGA level of DFT.

Unit cell a=4.2171 b=2.8757 c=6.1502 alpha=78.89 beta=90.00 gamma=90.00
Element x y z (fractional)
Li 0.5000 0.7931 0.7907
Ca 0.0000 0.4752 0.4946
Tc 0.0000 0.9884 0.0357
Tc 0.5000 0.2434 0.1790

Properties
As for the formation enthalpy at 0 K: 340.1 meV per atom. For the excess energy over the best structure of this formula in the dataset, the calculation gives 118 meV per atom.

---

# 15
Computed, not measured: an optimized crystal structure of Be2HIrPt at the PBE-GGA level of DFT.

Unit cell a=3.9038 b=3.9038 c=3.2923 alpha=90.00 beta=90.00 gamma=90.00
Element x y z (fractional)
Ir 0.0000 0.0000 0.5000
Pt 0.5000 0.5000 0.5000
H 0.0000 0.0000 0.0000
Be 0.5000 0.0000 0.0000
Be 0.0000 0.5000 0.0000

Properties
The calculation puts the electronic total energy at -5.450 eV per atom.

---

# 16
Computed, not measured: an optimized crystal structure of CeSeBr at the PBE-GGA level of DFT.

Unit cell a=7.4528 b=7.4528 c=8.4296 alpha=109.44 beta=109.44 gamma=104.30
Each line ends with the local moment (μB).
Element x y z (fractional)
Br 0.2950 0.6274 0.7660  -0.01
Br 0.8614 0.5290 0.2340  -0.01
Br 0.7790 0.6114 0.7340  -0.01
Br 0.8774 0.0450 0.2660  -0.01
Ce 0.0672 0.4536 0.9570  0.98
Ce 0.7036 0.8172 0.4570  0.98
Ce 0.3602 0.2466 0.5430  0.98
Ce 0.4966 0.1102 0.0430  0.98
Se 0.3493 0.8947 0.2420  -0.03
Se 0.1447 0.0993 0.7420  -0.03
Se 0.3574 0.4027 0.2580  -0.03
Se 0.6527 0.1074 0.7580  -0.03

Properties
For the formation energy (no corrections), the calculation gives -1.804 eV per atom.

---

# 17
Computed, not measured: an optimized crystal structure of Be2ZnSe at the PBE-GGA level of DFT.

Unit cell a=4.2848 b=4.2848 c=4.2848 alpha=60.00 beta=60.00 gamma=60.00
Element x y z (fractional)
Zn 0.0000 0.0000 0.0000
Be 0.7500 0.7500 0.7500
Be 0.2500 0.2500 0.2500
Se 0.5000 0.5000 0.5000

Properties
For the excess energy over the best structure of this formula in the dataset, the calculation gives 583 meV per atom. For the formation energy (no corrections), the calculation gives 0.664 eV per atom.

---

# 18
Computed, not measured: an optimized crystal structure of Ac4Pr3Ho4 at the PBE-GGA level of DFT.

Unit cell a=3.7182 b=5.8164 c=19.1782 alpha=98.70 beta=89.97 gamma=90.00
Element x y z (fractional)
Ac 0.7272 0.7214 0.4427
Ac 0.2245 0.9066 0.8143
Ac 0.2244 0.2781 0.5550
Ac 0.7298 0.0900 0.1800
Pr 0.7240 0.3654 0.7314
Pr 0.2298 0.0008 0.0016
Pr 0.2294 0.6342 0.2678
Ho 0.7235 0.8195 0.6388
Ho 0.2281 0.1797 0.3591
Ho 0.7291 0.4621 0.9238
Ho 0.2300 0.5423 0.0855

Properties
As for the formation enthalpy at 0 K: 59.6 meV per atom.

---

# 19
Computed, not measured: an optimized crystal structure of Fe2HgAu at the PBE-GGA level of DFT.

Unit cell a=2.8683 b=2.8683 c=7.7777 alpha=90.00 beta=90.00 gamma=90.00
Each line ends with the local moment (μB).
Element x y z (fractional)
Hg 0.5000 0.5000 0.2500  -0.06
Fe 0.0000 0.0000 0.9899  2.83
Fe 0.0000 0.0000 0.5101  2.83
Au 0.5000 0.5000 0.7500  0.02

Properties
As for the formation enthalpy at 0 K: 334.3 meV per atom.

---

# 20
Computed, not measured: an optimized crystal structure of Ca2Ni2Sn3 at the PBE-GGA level of DFT.

Unit cell a=4.5122 b=7.2929 c=9.8283 alpha=90.00 beta=103.27 gamma=90.00
Element x y z (fractional)
Sn 0.5733 0.4473 0.1466
Sn 0.5733 0.0527 0.1466
Sn 0.2222 0.7500 0.4443
Sn 0.4267 0.5527 0.8534
Sn 0.7778 0.2500 0.5557
Sn 0.4267 0.9473 0.8534
Ca 0.1629 0.2500 0.3257
Ca 0.0454 0.7500 0.0908
Ca 0.9546 0.2500 0.9092
Ca 0.8371 0.7500 0.6743
Ni 0.7027 0.9368 0.4055
Ni 0.7027 0.5632 0.4055
Ni 0.2973 0.0632 0.5945
Ni 0.2973 0.4368 0.5945

Properties
As for the formation enthalpy at 0 K: -395.9 meV per atom. For the excess energy over the best structure of this formula in the dataset, the calculation gives 22 meV per atom.

---

Quick rundown of calculated volume, same order as above: 30.9; 15.9; 14.1; 20.5; 50.5; 34.0; 33.4; 22.0; 28.8; 32.3; 19.0; 18.4; 18.5; 18.3; 10.0; 31.8; 13.9; 37.3; 16.0; 22.5 A^3/atom